DFT (PBE) results for a relaxed structure of Ta3VH6.

Lattice parameters (Å, degrees): 5.507 5.507 5.507 89.89 89.89 89.89
Fractional positions:
Ta 0.505 0.000 0.750
Ta 0.000 0.750 0.505
Ta 0.250 0.495 0.000
Ta 0.750 0.505 0.000
Ta 0.000 0.250 0.495
Ta 0.495 0.000 0.250
V 0.000 0.000 0.000
V 0.500 0.500 0.500
H 0.294 0.859 0.006
H 0.141 0.994 0.706
H 0.640 0.792 0.491
H 0.994 0.706 0.141
H 0.491 0.640 0.792
H 0.208 0.509 0.360
H 0.792 0.491 0.640
H 0.509 0.360 0.208
H 0.006 0.294 0.859
H 0.360 0.208 0.509
H 0.859 0.006 0.294
H 0.706 0.141 0.994

* D(E_F): 7.84 states/eV/cell
* space-group type: R-3 (148)
* final energy: -131.9 eV per cell
* energy above the lowest structure with this stoichiometry: 0.0 meV per atom